First-principles (PBE+U) data for a relaxed NaNiBO3 crystal, as listed in Alexandria via LeMat-Bulk.

Total magnetic moment = 0.33 μB/atom
Raw total energy = -5.8236 eV per atom

Cell: 5.694 2.823 8.918 Å, 90.00 103.98 90.00°
Space group P2_1/m (No. 11)
One atom of each set of equivalent atoms:
Na 0.054 0.250 0.150
Ni 0.443 0.750 0.864
B 0.116 0.250 0.583
O 0.154 0.750 0.499
O 0.200 0.250 0.739
O 0.311 0.750 0.062